Record 1
This record from Alexandria via LeMat-Bulk describes a PBEsol-optimized structure of LiCdPt3. The functional is SCAN.

The structure belongs to space group Pm-3m (No. 221); the cell edges are 4.237, 4.237 and 4.237 Å and the angles 90.00°, 90.00° and 90.00°. The asymmetric unit holds Li at (0.000, 0.000, 0.000), Cd at (0.500, 0.500, 0.500) and Pt at (0.000, 0.000, 0.500).

The formation energy is 0.22 eV per atom. Its density of states at the Fermi level is 4.5 states/eV/f.u. As for the density: 15.38 g cm⁻³. The spin magnetization is 0.000 μB/f.u. The calculation puts the total energy at -48.46 eV/atom.



Record 2
This record from Alexandria via LeMat-Bulk describes a PBEsol-optimized structure of TaCuAsI2. The functional is SCAN.

The structure belongs to space group P4/mmm (No. 123); the cell edges are 5.062, 5.062 and 4.901 Å and the angles 90.00°, 90.00° and 90.00°. The asymmetric unit holds Ta at (0.000, 0.000, 0.000), Cu at (0.000, 0.000, 0.500), As at (0.500, 0.500, 0.000) and I at (0.000, 0.500, 0.500).

Its density of states at the Fermi level is 3.7 states/eV/f.u. As for the density: 7.58 g cm⁻³. The spin magnetization is 1.058 μB/f.u. The calculation puts the formation energy from raw total energies at 1363 meV per atom. The calculation puts the total energy at -33.73 eV/atom.